DFT (PBE) results for a relaxed structure of Sr2HgPb.

abc: 5.7196 5.7196 5.7196
angles: 60.00 60.00 60.00
Fractional positions:
Sr  0.2500  0.2500  0.2500
Sr  0.7500  0.7500  0.7500
Hg  0.0000  0.0000  0.0000
Pb  0.5000  0.5000  0.5000

Uncorrected energy: -9.8 eV per cell
Calculated density: 7.3 g/cm³